Here is an optimized crystal structure of InAgPt2 from the Alexandria database. Energies are from PBE.

a b c (Å): 9.225 9.225 9.225
angles (deg): 18.66 18.66 18.66
Positions (direct):
1 Ag 0.250 0.250 0.250
2 Pt 0.002 0.002 0.002
3 Pt 0.498 0.498 0.498
4 In 0.750 0.750 0.750

Total magnetic moment: 0.0 μB/f.u.
ΔE_f: -0.091 eV/atom
Calculated volume: 17.5 Å³/atom